Compound: Mg2TlNiPb
Source: Alexandria via LeMat-Bulk
Functional: PBE-GGA
Structure: relaxed Values from VASP.

Structure (Quantum ESPRESSO input):
```
&SYSTEM
  ibrav = 0, nat = 5, ntyp = 4
/
ATOMIC_SPECIES
Ni 58.69 Ni.upf
Mg 24.30 Mg.upf
Pb 207.20 Pb.upf
Tl 204.38 Tl.upf
CELL_PARAMETERS angstrom
5.023 0.000 0.000
0.000 5.023 0.000
0.000 0.000 4.944
ATOMIC_POSITIONS angstrom
Ni 0.000 0.000 0.000
Mg 0.000 2.512 0.000
Mg 2.512 0.000 0.000
Pb 0.000 0.000 2.472
Tl 2.512 2.512 2.472
```

Results
For the energy of formation from the pure elements, the calculation gives 11 meV per atom. Its density of states at the Fermi level is 0.592 states/eV per atom. The raw total energy comes out at -2.9980 eV per atom.